Compound: Ce8AlTc2
Source: Alexandria
Functional: PBE
Structure: optimized geometry

## Properties
ΔE_f in eV/atom: -0.03
V in Å³ per atom: 25.06
Crystal system: monoclinic
Magnetization in μB/f.u.: 0.01
SG: C2/m (12)

Cell: 7.935 7.935 5.086 Å, 98.44 98.44 116.35°
Fractional coordinates of all 11 atoms:
Ce1 0.073 0.284 0.573
Ce2 0.249 0.751 0.000
Ce3 0.284 0.073 0.573
Ce4 0.409 0.409 0.198
Ce5 0.591 0.591 0.802
Ce6 0.716 0.927 0.427
Ce7 0.751 0.249 0.000
Ce8 0.927 0.716 0.427
Al1 0.000 0.000 0.000
Tc1 0.305 0.695 0.500
Tc2 0.695 0.305 0.500

=====

Compound: Be2InPb
Source: Alexandria
Functional: PBE
Structure: optimized geometry

## Properties
Energy above the most stable polymorph in this dataset in kJ/mol of atoms: 56.33
ΔE_f in eV/atom: 0.93
V in Å³ per atom: 20.31
Crystal system: cubic
Magnetization in μB/f.u.: 0.00
SG: F-43m (216)

Cell: 4.861 4.861 4.861 Å, 60.00 60.00 60.00°
Fractional coordinates of all 4 atoms:
Be1 0.000 0.000 0.000
Be2 0.250 0.250 0.250
In1 0.500 0.500 0.500
Pb1 0.750 0.750 0.750

=====

Compound: Nd2ZnHg
Source: Alexandria
Functional: PBE
Structure: optimized geometry

## Properties
Energy above the most stable polymorph in this dataset in kJ/mol of atoms: 2.39
ΔE_f in eV/atom: -0.37
V in Å³ per atom: 26.85
Crystal system: cubic
Magnetization in μB/f.u.: 0.88
SG: Fm-3m (225)

Cell: 5.336 5.336 5.336 Å, 60.00 60.00 60.00°
Fractional coordinates of all 4 atoms:
Nd1 0.250 0.250 0.250
Nd2 0.750 0.750 0.750
Zn1 0.000 0.000 0.000
Hg1 0.500 0.500 0.500